First-principles (PBE with a Hubbard U) data for a relaxed Rb2VNiF crystal, as listed in the Alexandria database.

Cell: 5.7762 5.7762 4.4764 Å, 90.00 90.00 90.00°
Last column: nearest neighbours and their distance in Å.
Fractional positions:
Rb: 0.0000 0.5000 0.0000  2 F 2.89
Rb: 0.5000 0.0000 0.0000  2 F 2.89
V: 0.0000 0.0000 0.5000  2 F 2.24
Ni: 0.5000 0.5000 0.5000  8 Rb 3.65, 4 V 4.08
F: 0.0000 0.0000 0.0000  2 V 2.24

## Properties
Raw total energy = -14.2 eV for the cell shown
D(E_F) = 1.65 states/eV/cell